Computed, not measured: a geometry-optimized ZrCr2Re structure at the GGA-PBE level of DFT.

a = 2.7263 Å, b = 2.7263 Å, c = 8.5580 Å
α = 90.00°, β = 90.00°, γ = 110.74°
Last column: nearest neighbours and their distance in Å.
Fractional positions:
Zr: 0.0000 0.0000 0.0000  4 Zr 2.73, 2 Cr 2.79, 2 Re 2.90
Cr: 0.0000 0.0000 0.4772  2 Cr 2.35, 2 Re 2.55
Cr: 0.5000 0.5000 0.2711  2 Cr 2.35
Re: 0.5000 0.5000 0.7138  2 Cr 2.55, 4 Re 2.73

Properties
**Polymorph energy (0 for the lowest one)**: 159 meV per atom
**Total magnetization**: 0.00 μB per atom
**Theoretical density**: 10.6 g/cm3
**E_tot**: -9.875 eV per atom
**DFT formation energy**: 186 meV per atom